Entry 1:
Compound: CdPt2Au8
Source: Alexandria via LeMat-Bulk
Functional: PBE-GGA
Structure: optimized geometry

Energy relative to the elements (eV/atom): -0.029
Magnetic moment (μB per cell): 0.0
E_tot (eV/atom): -3.594
Energy above the most stable polymorph in this dataset (meV per atom): 0
Calculated volume (Å³/atom): 17.72

a b c (Å): 4.1627 6.5467 7.7092
angles (deg): 104.90 105.66 90.00
Element x y z (fractional)
Au 0.9513 0.2723 0.9025
Au 0.8622 0.8107 0.7244
Au 0.3161 0.0886 0.6322
Au 0.4066 0.5421 0.8131
Au 0.5934 0.4579 0.1869
Au 0.1378 0.1893 0.2756
Au 0.0487 0.7277 0.0975
Au 0.6839 0.9114 0.3678
Pt 0.2282 0.6326 0.4564
Pt 0.7718 0.3674 0.5436
Cd 0.5000 0.0000 0.0000

---

Entry 2:
Compound: ZnPdS2N
Source: Alexandria via LeMat-Bulk
Functional: PBE-GGA
Structure: optimized geometry

Magnetic moment (μB per cell): 0.5
E_tot (eV/atom): -3.783
Energy above the most stable polymorph in this dataset (meV per atom): 0
Calculated volume (Å³/atom): 17.84
Energy relative to the elements, uncorrected (eV/atom): 0.83

a b c (Å): 4.9152 4.9152 3.6928
angles (deg): 90.00 90.00 90.00
Last column: magnetic moment on the atom in μB.
Element x y z (fractional)
Zn 0.5000 0.5000 0.5000  0.00
S 0.5000 0.0000 0.0000  0.03
S 0.0000 0.5000 0.0000  0.03
Pd 0.0000 0.0000 0.0000  0.04
N 0.0000 0.0000 0.5000  0.29

---

Entry 3:
Compound: ScPaTlSn
Source: Alexandria via LeMat-Bulk
Functional: PBE-GGA
Structure: optimized geometry

Energy relative to the elements (eV/atom): -0.091
Magnetic moment (μB per cell): 1.9
E_tot (eV/atom): -5.640
Calculated volume (Å³/atom): 25.31

a b c (Å): 5.2314 5.2314 5.2314
angles (deg): 60.00 60.00 60.00
Last column: magnetic moment on the atom in μB.
Element x y z (fractional)
Sc 0.0000 0.0000 0.0000  0.36
Sn 0.2500 0.2500 0.2500  0.02
Pa 0.5000 0.5000 0.5000  1.06
Tl 0.7500 0.7500 0.7500  0.02

---

Entry 4:
Compound: Li3Dy3PuS8
Source: Alexandria via LeMat-Bulk
Functional: PBE-GGA
Structure: optimized geometry

Magnetic moment (μB per cell): 4.0
E_tot (eV/atom): -6.193
Calculated volume (Å³/atom): 22.05
Energy relative to the elements, uncorrected (eV/atom): -1.73

a b c (Å): 7.8743 7.8739 7.6568
angles (deg): 120.96 90.00 120.00
Last column: magnetic moment on the atom in μB.
Element x y z (fractional)
S 0.7555 0.9995 0.7433  -0.07
S 0.2445 0.0005 0.2567  -0.07
S 0.2439 0.9995 0.7433  -0.07
S 0.7561 0.5121 0.2567  -0.07
S 0.7498 0.4997 0.7494  0.00
S 0.2439 0.4879 0.7433  -0.07
S 0.7561 0.0005 0.2567  -0.07
S 0.2502 0.5003 0.2506  0.00
Li 0.0000 0.5000 0.0000  0.00
Li 0.5000 0.5000 0.0000  0.00
Li 0.0000 0.0000 0.0000  0.00
Dy 0.5000 0.0000 0.5000  0.01
Dy 0.5000 0.5000 0.5000  0.01
Dy 0.0000 0.5000 0.5000  0.01
Pu 0.0000 0.0000 0.5000  4.46

---

Entry 5:
Compound: AgP2
Source: Alexandria via LeMat-Bulk
Functional: PBE-GGA
Structure: optimized geometry

Energy relative to the elements (eV/atom): 0.455
Magnetic moment (μB per cell): 0.0
E_tot (eV/atom): -4.102
Energy above the most stable polymorph in this dataset (meV per atom): 456
Calculated volume (Å³/atom): 17.96

a b c (Å): 5.2091 5.2091 5.2091
angles (deg): 106.32 106.32 115.98
Element x y z (fractional)
P 0.1190 0.3810 0.5000
P 0.3810 0.8810 0.2620
P 0.8810 0.6190 0.5000
P 0.6190 0.1190 0.7380
Ag 0.7500 0.7500 0.0000
Ag 0.2500 0.2500 0.0000

---

Entry 6:
Compound: Cs2HfAlI6
Source: Alexandria via LeMat-Bulk
Functional: PBE-GGA
Structure: optimized geometry

Magnetic moment (μB per cell): 1.0
E_tot (eV/atom): -3.370
Calculated volume (Å³/atom): 45.28
Energy relative to the elements, uncorrected (eV/atom): -0.90

a b c (Å): 8.6188 8.6188 8.6200
angles (deg): 60.00 60.00 90.00
Last column: magnetic moment on the atom in μB.
Element x y z (fractional)
I 0.7617 0.7617 0.4767  0.00
I 0.2383 0.7617 0.0000  0.00
I 0.2383 0.2383 0.0000  -0.01
I 0.7617 0.7617 0.0000  -0.01
I 0.7617 0.2383 0.0000  0.00
I 0.2383 0.2383 0.5233  0.00
Al 0.5000 0.5000 0.0000  0.00
Cs 0.2500 0.7500 0.5000  0.00
Cs 0.7500 0.2500 0.5000  0.00
Hf 0.0000 0.0000 0.0000  0.61